# 1
Computed, not measured: crystalline ThUPaN6 at its relaxed geometry at the PBE-GGA level of DFT.

Cell: 6.1163 6.1163 4.2694 Å, 90.00 90.00 120.00°
Space group P312 (No. 149)
Symmetry-distinct sites (fractional):
Th  0.0000  0.0000  0.0000
U  0.6667  0.3333  0.0000
Pa  0.3333  0.6667  0.5000
N  0.3588  0.0060  0.2315

Properties
Total moment   0.000 μB/atom
ΔE_f (raw)   -712 meV/atom

---

# 2
Computed, not measured: crystalline TmThTe2S at its relaxed geometry at the PBE-GGA level of DFT.

Cell: 4.354 4.354 14.840 Å, 90.00 90.00 90.00°
Space group P4/nmm (No. 129, origin choice 2)
Symmetry-distinct sites (fractional):
Tm  0.250  0.250  0.084
Th  0.250  0.250  0.619
Te  0.250  0.250  0.294
Te  0.250  0.250  0.879
S  0.250  0.750  0.500

Properties
Total moment   0.000 μB/atom
ΔE_f (raw)   -1457 meV/atom

---

# 3
Computed, not measured: crystalline PaNb2H at its relaxed geometry at the PBE-GGA level of DFT.

Cell: 3.582 3.582 5.599 Å, 90.00 90.00 90.00°
Space group P4/mmm (No. 123)
Symmetry-distinct sites (fractional):
Pa  0.000  0.000  0.000
Nb  0.500  0.500  0.243
H  0.000  0.000  0.500

Properties
ΔE to the lowest computed polymorph   262 meV per atom
Total moment   0.000 μB/atom

---

# 4
Computed, not measured: crystalline BaInAuO4 at its relaxed geometry at the PBE-GGA level of DFT.

Cell: 6.897 10.137 7.517 Å, 90.00 90.00 90.00°
Space group Cmcm (No. 63)
Symmetry-distinct sites (fractional):
Ba  0.000  0.000  0.000
In  0.000  0.381  0.250
Au  0.000  0.310  0.750
O  0.000  0.271  0.012
O  0.227  0.484  0.750

Properties
Total moment   0.067 μB/atom
ΔE_f (raw)   -1039 meV/atom

---

# 5
Computed, not measured: crystalline CePu5Sb3 at its relaxed geometry at the PBE-GGA level of DFT.

Cell: 6.379 16.246 9.254 Å, 90.00 90.00 90.00°
Space group Amm2 (No. 38)
Symmetry-distinct sites (fractional):
Ce  0.242  0.000  0.000
Pu  0.000  0.000  0.660
Pu  0.000  0.172  0.177
Pu  0.252  0.166  0.505
Pu  0.500  0.000  0.325
Pu  0.500  0.162  0.841
Sb  0.000  0.000  0.324
Sb  0.000  0.162  0.841
Sb  0.500  0.000  0.662
Sb  0.500  0.171  0.175

Properties
Total moment   0.619 μB/atom
ΔE_f (raw)   -466 meV/atom

---

# 6
Computed, not measured: crystalline Tm6ZnPd5 at its relaxed geometry at the PBE-GGA level of DFT.

Cell: 4.906 14.723 6.942 Å, 90.00 90.00 90.00°
Space group Cmmm (No. 65)
Symmetry-distinct sites (fractional):
Tm  0.000  0.000  0.246
Tm  0.000  0.332  0.249
Zn  0.000  0.500  0.500
Pd  0.000  0.165  0.500
Pd  0.000  0.168  0.000
Pd  0.000  0.500  0.000

Properties
Total moment   0.000 μB/atom

---

# 7
Computed, not measured: crystalline Cu3Ag2Cl8 at its relaxed geometry at the PBE-GGA level of DFT.

Cell: 12.497 6.817 7.433 Å, 90.00 90.12 90.00°
Space group C2/m (No. 12)
Symmetry-distinct sites (fractional):
Cu  0.000  0.000  0.000
Cu  0.000  0.244  0.500
Ag  0.207  0.500  0.099
Cl  0.108  0.000  0.391
Cl  0.113  0.500  0.416
Cl  0.115  0.233  0.893

Properties
ΔE to the lowest computed polymorph   0 meV per atom
Total moment   0.197 μB/atom
ΔE_f (raw)   -463 meV/atom

---

# 8
Computed, not measured: crystalline CsCuAgO2 at its relaxed geometry at the PBE-GGA level of DFT.

Cell: 6.613 13.292 4.589 Å, 90.00 90.00 90.00°
Space group Cmme (No. 67)
Symmetry-distinct sites (fractional):
Cs  0.000  0.250  0.248
Cu  0.000  0.000  0.500
Ag  0.250  0.000  0.000
O  0.000  0.098  0.768

Properties
Total moment   0.193 μB/atom
ΔE_f (raw)   -579 meV/atom

---

VASP energy, respectively: -9.396 -5.917 -7.476 -5.007 -10.462 -5.348 -2.984 -4.123 eV/atom.